Entry 1:
{
  "formula": "RbCrAsSe2",
  "functional": "GGA-PBE",
  "state": "optimized geometry",
  "raw_formation_energy_ev_per_atom": 1.495,
  "crystal_system": "tetragonal",
  "lattice_angstrom": [[5.932, 0.000, 0.000], [0.000, 5.932, 0.000], [0.000, 0.000, 5.713]],
  "species": ["Se", "Rb", "Cr", "Se", "As"],
  "fractional_positions": [[0.000, 0.500, 0.000], [0.000, 0.000, 0.000], [0.500, 0.500, 0.500], [0.500, 0.000, 0.000], [0.000, 0.000, 0.500]]
}

=====

Entry 2:
{
  "formula": "Rb2CrAsSe4",
  "functional": "GGA-PBE",
  "state": "optimized geometry",
  "raw_formation_energy_ev_per_atom": -0.585,
  "crystal_system": "orthorhombic",
  "lattice_angstrom": [[-5.419, -2.143, 3.322], [-5.626, -3.287, -4.524], [2.314, -11.599, 3.064]],
  "species": ["Rb", "Se", "Se", "Se", "Cr", "Rb", "As", "Se", "Se", "Rb", "As", "Se", "Cr", "Rb", "Se", "Se"],
  "fractional_positions": [[0.573, 0.500, 0.854], [0.184, 0.201, 0.903], [0.289, 0.799, 0.097], [0.461, 0.701, 0.403], [0.750, 0.500, 0.500], [0.823, 0.000, 0.354], [0.250, 0.500, 0.500], [0.838, 0.701, 0.597], [0.912, 0.799, 0.903], [0.927, 0.500, 0.146], [0.500, 0.000, 0.000], [0.136, 0.299, 0.403], [0.000, 0.000, 0.000], [0.177, 0.000, 0.646], [0.614, 0.201, 0.097], [0.566, 0.299, 0.597]]
}

=====

| no. | total magnetization (μB per formula unit) | uncorrected energy (eV per atom) |
| --- | --- | --- |
| 1 | 1.57 | -2.946 |
| 2 | 3.00 | -4.353 |